No. 1
Sr2NiN, relaxed, DFT GGA-PBE; calculated volume = 206.8 Å³/cell; final energy = -33.37 eV for the cell shown; magnetic moment = 2.00 μB per cell; DOS at the Fermi energy = 2.017 states/eV/atom
1.0
-3.6500 3.6500 3.8800
3.6500 -3.6500 3.8800
3.6500 3.6500 -3.8800
Sr Ni N
4 2 2
direct
0.0570 0.6250 0.9320
0.3750 0.3070 0.4320
0.6930 0.1250 0.0680
0.8750 0.9430 0.5680
0.2500 0.7500 0.5000
0.5000 0.5000 0.0000
0.0000 0.0000 0.0000
0.7500 0.2500 0.5000

***

No. 2
SrNi2N2, relaxed, DFT GGA-PBE; calculated volume = 61.5 Å³/cell; final energy = -30.05 eV for the cell shown; magnetic moment = 0.00 μB per cell; DOS at the Fermi energy = 0.674 states/eV/atom
1.0
3.4174 0.0000 0.0000
-1.7087 2.9595 0.0000
0.0000 0.0000 6.0777
Sr Ni N
1 2 2
direct
0.0000 0.0000 0.0000
0.3333 0.6667 0.3820
0.6667 0.3333 0.6180
0.3333 0.6667 0.7037
0.6667 0.3333 0.2963

***

No. 3
Sr2Ni2N, relaxed, DFT GGA-PBE; calculated volume = 91.6 Å³/cell; final energy = -23.01 eV for the cell shown; magnetic moment = 0.87 μB per cell; DOS at the Fermi energy = 1.034 states/eV/atom
1.0
-1.6506 1.6506 8.4028
1.6506 -1.6506 8.4028
1.6506 1.6506 -8.4028
Sr Ni N
2 2 1
direct
0.0862 0.0862 0.0000
0.9138 0.9138 0.0000
0.2500 0.7500 0.5000
0.7500 0.2500 0.5000
0.5000 0.5000 0.0000